! PuMgPtO6 (PBE, relaxed); values from VASP
! D(E_F) ... 13.839 states/eV per cell
! Uncorrected formation energy ... -1.847 eV per atom
! Total energy ... -7.5929 eV per atom
! Magnetic moment ... 0.222 μB/atom
&SYSTEM
  ibrav = 0, nat = 18, ntyp = 4
/
ATOMIC_SPECIES
Pu 244.00 Pu.upf
Mg 24.30 Mg.upf
Pt 195.08 Pt.upf
O 16.00 O.upf
ATOMIC_POSITIONS crystal
Pu 0.667 0.333 0.250
Pu 0.333 0.667 0.750
Mg 0.000 0.000 0.000
Mg 0.000 0.000 0.500
Pt 0.333 0.667 0.250
Pt 0.667 0.333 0.750
O 0.658 0.665 0.130
O 0.008 0.342 0.130
O 0.342 0.008 0.630
O 0.992 0.658 0.870
O 0.335 0.342 0.370
O 0.008 0.665 0.370
O 0.665 0.008 0.870
O 0.658 0.992 0.370
O 0.992 0.335 0.630
O 0.335 0.992 0.130
O 0.665 0.658 0.630
O 0.342 0.335 0.870
CELL_PARAMETERS angstrom
5.228 0.000 0.000
-2.614 4.527 0.000
0.000 0.000 9.370

! Rb2MgPtO4 (PBE, relaxed); values from VASP
! D(E_F) ... 9.415 states/eV per cell
! Uncorrected formation energy ... -1.196 eV per atom
! Total energy ... -4.8718 eV per atom
! Magnetic moment ... 0.252 μB/atom
&SYSTEM
  ibrav = 0, nat = 16, ntyp = 4
/
ATOMIC_SPECIES
Rb 85.47 Rb.upf
Mg 24.30 Mg.upf
Pt 195.08 Pt.upf
O 16.00 O.upf
ATOMIC_POSITIONS crystal
Rb 0.178 0.000 0.645
Rb 0.822 0.000 0.355
Rb 0.572 0.500 0.855
Rb 0.928 0.500 0.145
Mg 0.750 0.500 0.500
Mg 0.000 0.000 0.000
Pt 0.250 0.500 0.500
Pt 0.500 0.000 0.000
O 0.345 0.809 0.009
O 0.163 0.191 0.991
O 0.846 0.809 0.991
O 0.646 0.191 0.009
O 0.405 0.691 0.491
O 0.587 0.309 0.509
O 0.904 0.691 0.509
O 0.104 0.309 0.491
CELL_PARAMETERS angstrom
5.812 0.000 0.000
2.906 6.970 0.000
2.906 0.000 10.172